The following is a DFT calculation (PBE) of crystalline ScFe2 at its relaxed geometry.

Values from the calculation:
Spin magnetization in μB per formula unit: 3.6
E_form in eV/atom: 0.084

Cell: 9.556 3.205 5.921 Å, 90.00 107.66 90.00°
Space group C2/m (No. 12)
One atom of each set of equivalent atoms:
Sc (0.152, 0.000, 0.305) [4 per cell]
Fe (0.000, 0.500, 0.000) [2 per cell]
Fe (0.000, 0.500, 0.500) [2 per cell]
Fe (0.156, 0.000, 0.834) [4 per cell]